1.
Entry from Alexandria: crystalline TlIn2Ir at its relaxed geometry (PBE).

* total moment: 0.00 μB/atom
* energy of formation from the pure elements: 0.357 eV/atom
* DOS at the Fermi energy: 0.63 states/eV per atom
* total DFT energy (no corrections): -30.550 eV/cell

Lattice parameters (Å, degrees): 4.481 4.481 8.525 90.00 90.00 90.00
Space group I-4m2 (No. 119)
Inequivalent atoms, fractional coordinates:
Tl  0.000  0.000  0.000 x2
In  0.000  0.000  0.500 x2
In  0.000  0.500  0.750 x2
Ir  0.000  0.500  0.250 x2

2.
Entry from Alexandria: crystalline NdHgCN2 at its relaxed geometry (PBE).

* total moment: 0.00 μB/atom
* DOS at the Fermi energy: 0.35 states/eV per atom
* uncorrected formation energy: -0.532 eV/atom
* total DFT energy (no corrections): -67.204 eV/cell

Lattice parameters (Å, degrees): 5.387 3.891 8.579 90.00 90.37 90.00
Space group P2_1/m (No. 11)
Inequivalent atoms, fractional coordinates:
Nd  0.116  0.250  0.300 x2
Hg  0.278  0.750  0.983 x2
C  0.381  0.250  0.634 x2
N  0.154  0.250  0.607 x2
N  0.393  0.750  0.346 x2

no.,volume (Å³/atom)
1,21.40
2,17.98